(1)
A relaxed Mn4Nb2Sb crystal, computed with PBE.

```
Mn4Nb2Sb
1.0
4.698 0.000 0.000
0.000 4.698 0.000
2.349 2.349 6.597
Mn Nb Sb
4 2 1
direct
0.201 0.201 0.597
0.799 0.799 0.403
0.500 0.000 0.000
0.000 0.500 0.000
0.387 0.387 0.225
0.613 0.613 0.775
0.000 0.000 0.000
```

Computed properties:
uncorrected formation energy: 1.182 eV/atom
total moment: 8.766 μB per cell
space-group type: No. 139
V: 20.80 Å³ per atom



(2)
A relaxed MnNbSb2 crystal, computed with PBE.

```
MnNbSb2
1.0
-0.271 1.723 -2.643
-0.274 -1.440 -2.808
-9.636 0.056 -0.873
Nb Sb Mn
1 2 1
direct
0.000 0.000 0.000
0.900 0.900 0.299
0.100 0.100 0.701
0.500 0.500 0.500
```

Computed properties:
uncorrected formation energy: 0.398 eV/atom
total moment: 1.673 μB per cell
space-group type: No. 166
V: 20.64 Å³ per atom